Entry 1:
PBE-GGA Rb4Pm3TiSe8, optimized geometry; D(E_F) = 6.2 states/eV per cell; space-group type = No. 166
1.0
4.2442 2.4504 7.9966
-4.2442 2.4504 7.9966
0.0000 -4.9007 7.9966
Rb Pm Ti Se
4 3 1 8
direct
0.0000 0.0000 0.0000
0.0000 0.5000 0.5000
0.5000 0.0000 0.5000
0.5000 0.5000 0.0000
0.0000 0.0000 0.5000
0.0000 0.5000 0.0000
0.5000 0.0000 0.0000
0.5000 0.5000 0.5000
0.2345 0.2345 0.2345
0.2536 0.7191 0.7191
0.2809 0.2809 0.7464
0.2809 0.7464 0.2809
0.7191 0.2536 0.7191
0.7191 0.7191 0.2536
0.7464 0.2809 0.2809
0.7655 0.7655 0.7655

***

Entry 2:
PBE-GGA Rb2Pm2TiSe6, optimized geometry; space-group type = No. 12
1.0
3.5902 -6.1296 0.0000
3.5902 6.1296 0.0000
-2.5170 0.0000 8.1664
Rb Pm Ti Se
2 2 1 6
direct
0.1734 0.8266 0.0000
0.8266 0.1734 0.0000
0.3328 0.6672 0.5000
0.6672 0.3328 0.5000
0.0000 0.0000 0.5000
0.0683 0.3688 0.6899
0.2322 0.2322 0.3130
0.3688 0.0683 0.6899
0.6312 0.9317 0.3101
0.7678 0.7678 0.6870
0.9317 0.6312 0.3101

***

Entry 3:
PBE-GGA Rb2PmTlSe4, optimized geometry; D(E_F) = 4.7 states/eV per cell; space-group type = No. 15
1.0
6.3119 -6.4811 0.0000
6.3119 6.4811 0.0000
-6.2794 0.0000 6.3392
Rb Pm Tl Se
4 2 2 8
direct
0.0000 0.0000 0.0000
0.0000 0.0000 0.5000
0.0000 0.5000 0.0000
0.5000 0.0000 0.5000
0.5000 0.5000 0.0000
0.5000 0.5000 0.5000
0.0000 0.5000 0.5000
0.5000 0.0000 0.0000
0.2637 0.7323 0.5348
0.2677 0.7363 0.9652
0.2723 0.2923 0.5329
0.2923 0.2723 0.0329
0.7077 0.7277 0.9671
0.7277 0.7077 0.4671
0.7323 0.2637 0.0348
0.7363 0.2677 0.4652

***

| no. | VASP energy (eV/atom) | M_tot (μB/f.u.) | calculated volume (Å³/atom) |
| --- | --- | --- | --- |
| 1 | -4.92 | 1.00 | 31.187 |
| 2 | -5.18 | 0.00 | 32.676 |
| 3 | -3.95 | 0.00 | 32.416 |